First-principles (PBEsol) data for a relaxed BeIn2W crystal, as listed in Alexandria via LeMat-Bulk.

Results
Energy ... -21.55 eV per cell
Formation enthalpy at 0 K ... 0.56 eV/atom
N(E_F) ... 1.838 states/eV per cell
Symmetry ... No. 25

Cell: 2.8677 4.7634 5.0102 Å, 90.00 90.00 90.00°
Positions (direct):
Be1 0.0000 0.0000 0.0000
In1 0.5000 0.0000 0.4508
In2 0.5000 0.5000 0.7951
W1 0.0000 0.5000 0.2725

First-principles (PBEsol) data for a relaxed BeIn2W crystal, as listed in Alexandria via LeMat-Bulk.

Results
Energy ... -41.81 eV per cell
Formation enthalpy at 0 K ... 0.72 eV/atom
N(E_F) ... 4.100 states/eV per cell
Symmetry ... No. 65

Cell: 3.3574 4.7361 8.6903 Å, 90.00 90.00 90.00°
Positions (direct):
Be1 0.0000 0.0000 0.0000
Be2 0.5000 0.5000 0.0000
In1 0.0000 0.5000 0.2334
In2 0.0000 0.5000 0.7666
In3 0.5000 0.0000 0.2334
In4 0.5000 0.0000 0.7666
W1 0.0000 0.0000 0.5000
W2 0.5000 0.5000 0.5000

First-principles (PBEsol) data for a relaxed BeInW crystal, as listed in Alexandria via LeMat-Bulk.

Results
Energy ... -38.07 eV per cell
Formation enthalpy at 0 K ... 0.58 eV/atom
N(E_F) ... 3.325 states/eV per cell
Symmetry ... No. 107

Cell: 2.7601 2.7601 12.2819 Å, 90.00 90.00 90.00°
Positions (direct):
Be1 0.0000 0.0000 0.0000
Be2 0.5000 0.5000 0.5000
In1 0.0000 0.0000 0.6766
In2 0.5000 0.5000 0.1766
W1 0.0000 0.0000 0.3658
W2 0.5000 0.5000 0.8658

First-principles (PBEsol) data for a relaxed BeInW crystal, as listed in Alexandria via LeMat-Bulk.

Results
Energy ... -72.73 eV per cell
Formation enthalpy at 0 K ... 0.87 eV/atom
N(E_F) ... 11.578 states/eV per cell
Symmetry ... No. 216

Cell: 5.7427 5.7427 5.7427 Å, 90.00 90.00 90.00°
Positions (direct):
Be1 0.0000 0.0000 0.0000
Be2 0.0000 0.5000 0.5000
Be3 0.5000 0.0000 0.5000
Be4 0.5000 0.5000 0.0000
In1 0.2500 0.2500 0.2500
In2 0.2500 0.7500 0.7500
In3 0.7500 0.2500 0.7500
In4 0.7500 0.7500 0.2500
W1 0.2500 0.2500 0.7500
W2 0.2500 0.7500 0.2500
W3 0.7500 0.2500 0.2500
W4 0.7500 0.7500 0.7500

The lowest N(E_F) belongs to which entry?
number 1